An optimized crystal structure of PmPrThMg, computed with PBE.

a b c (Å): 5.631 5.631 5.631
angles (deg): 60.00 60.00 60.00
Element x y z (fractional)
Pr 0.750 0.750 0.750
Mg 0.000 0.000 0.000
Th 0.250 0.250 0.250
Pm 0.500 0.500 0.500

Values from the calculation:
N(E_F) in states/eV/cell: 7.28
Final energy in eV/f.u.: -18.042
ΔE_f in eV/f.u.: 0.50